1.
The following is a PBE calculation of crystalline Sm2PuHg5 at its relaxed geometry, from Alexandria.

Results
ρ, g cm⁻³: 12.35
Raw total energy, eV for the cell shown: -27.7
Calculated volume, Å³ per atom: 26.0
M_tot, Bohr magnetons per cell: 5.78
SG: I4/mmm, No. 139

Cell: 5.3609 5.3609 8.1709 Å, 109.15 109.15 90.00°
Last column: magnetic moment on the atom in μB.
Element x y z (fractional)
Sm (0.7354, 0.7354, 0.4707)  -0.04
Sm (0.2646, 0.2646, 0.5293)  -0.04
Pu (0.0000, 0.0000, 0.0000)  5.49
Hg (0.5000, 0.5000, 0.0000)  -0.01
Hg (0.8764, 0.3764, 0.7527)  0.02
Hg (0.3764, 0.8764, 0.7527)  0.02
Hg (0.1236, 0.6236, 0.2473)  0.02
Hg (0.6236, 0.1236, 0.2473)  0.02



2.
The following is a PBE calculation of crystalline La3Tb2Cd3 at its relaxed geometry, from Alexandria.

Results
ρ, g cm⁻³: 7.23
Raw total energy, eV for the cell shown: -28.7
Calculated volume, Å³ per atom: 30.8
M_tot, Bohr magnetons per cell: 0.00
SG: Immm, No. 71
Distance to the lowest polymorph of the same formula, meV/atom: 0

Cell: 3.8239 5.6243 11.9425 Å, 103.62 99.21 90.00°
Element x y z (fractional)
La (0.3759, 0.3759, 0.7517)
La (0.6241, 0.6241, 0.2483)
La (0.5000, 0.0000, 0.0000)
Tb (0.2649, 0.7649, 0.5298)
Tb (0.7351, 0.2351, 0.4702)
Cd (0.8769, 0.8769, 0.7537)
Cd (0.0000, 0.5000, 0.0000)
Cd (0.1231, 0.1231, 0.2463)



3.
The following is a PBE calculation of crystalline BaIn2Cl at its relaxed geometry, from Alexandria.

Results
ρ, g cm⁻³: 4.49
Raw total energy, eV for the cell shown: -12.6
Calculated volume, Å³ per atom: 37.2
M_tot, Bohr magnetons per cell: 0.57
SG: Cm, No. 8
E_form (uncorrected), eV/atom: -0.85
Distance to the lowest polymorph of the same formula, meV/atom: 8

Cell: 5.0250 5.0250 7.4137 Å, 70.01 70.01 60.00°
Last column: magnetic moment on the atom in μB.
Element x y z (fractional)
Cl (0.2262, 0.2262, 0.3247)  -0.02
Ba (0.5142, 0.5142, 0.4595)  -0.04
In (0.0427, 0.0427, 0.8694)  -0.02
In (0.7170, 0.7170, 0.8465)  -0.09



4.
The following is a PBE calculation of crystalline Na2CaZnSn2 at its relaxed geometry, from Alexandria.

Results
ρ, g cm⁻³: 3.96
Raw total energy, eV for the cell shown: -31.1
Calculated volume, Å³ per atom: 27.2
M_tot, Bohr magnetons per cell: 0.00
SG: Pmc2_1, No. 26

Cell: 4.8060 7.5970 8.9356 Å, 90.00 90.00 90.00°
Element x y z (fractional)
Na (0.5000, 0.0163, 0.0724)
Na (0.0000, 0.3199, 0.1566)
Na (0.5000, 0.5163, 0.9276)
Na (0.0000, 0.8199, 0.8434)
Ca (0.0000, 0.0158, 0.4674)
Ca (0.0000, 0.5158, 0.5326)
Zn (0.5000, 0.1638, 0.6758)
Zn (0.5000, 0.6638, 0.3242)
Sn (0.0000, 0.2359, 0.8158)
Sn (0.5000, 0.2939, 0.3789)
Sn (0.0000, 0.7359, 0.1842)
Sn (0.5000, 0.7939, 0.6211)



5.
The following is a PBE calculation of crystalline TbAl2Te6 at its relaxed geometry, from Alexandria.

Results
ρ, g cm⁻³: 5.41
Raw total energy, eV for the cell shown: -70.9
Calculated volume, Å³ per atom: 33.4
M_tot, Bohr magnetons per cell: 0.00
SG: C2/c, No. 15
E_form (uncorrected), eV/atom: -0.50

Cell: 7.9692 9.4101 9.4101 Å, 65.21 72.92 72.92°
Element x y z (fractional)
Tb (0.2500, 0.1766, 0.8234)
Tb (0.7500, 0.8234, 0.1766)
Al (0.2168, 0.6237, 0.7876)
Al (0.2832, 0.2124, 0.3763)
Al (0.7832, 0.3763, 0.2124)
Al (0.7168, 0.7876, 0.6237)
Te (0.4699, 0.7380, 0.5266)
Te (0.0301, 0.4734, 0.2620)
Te (0.5301, 0.2620, 0.4734)
Te (0.9699, 0.5266, 0.7380)
Te (0.9703, 0.8695, 0.3726)
Te (0.5297, 0.6274, 0.1305)
Te (0.0297, 0.1305, 0.6274)
Te (0.4703, 0.3726, 0.8695)
Te (0.1117, 0.8335, 0.9295)
Te (0.3883, 0.0705, 0.1665)
Te (0.8883, 0.1665, 0.0705)
Te (0.6117, 0.9295, 0.8335)



6.
The following is a PBE calculation of crystalline Tb3Tl2Ru at its relaxed geometry, from Alexandria.

Results
ρ, g cm⁻³: 10.88
Raw total energy, eV for the cell shown: -60.0
Calculated volume, Å³ per atom: 25.1
M_tot, Bohr magnetons per cell: 0.00
SG: Cmmm, No. 65
Distance to the lowest polymorph of the same formula, meV/atom: 0

Cell: 5.1426 8.0516 7.6719 Å, 90.00 90.00 71.38°
Element x y z (fractional)
Tb (0.8237, 0.3526, 0.7812)
Tb (0.5000, 0.0000, 0.2315)
Tb (0.1763, 0.6474, 0.2188)
Tb (0.8237, 0.3526, 0.2188)
Tb (0.1763, 0.6474, 0.7812)
Tb (0.5000, 0.0000, 0.7685)
Tl (0.0000, 0.0000, 0.0000)
Tl (0.0000, 0.0000, 0.5000)
Tl (0.3355, 0.3289, 0.5000)
Tl (0.6645, 0.6711, 0.5000)
Ru (0.3367, 0.3266, 0.0000)
Ru (0.6633, 0.6734, 0.0000)